{
  "formula": "InSi2Te",
  "functional": "meta-GGA SCAN",
  "state": "PBEsol geometry",
  "lattice": [[4.916, 0.000, 0.000], [2.458, 4.257, 0.000], [2.458, 1.419, 4.014]],
  "species": ["Si", "Te", "Si", "In"],
  "frac_coords": [[0.000, 0.000, 0.000], [0.250, 0.250, 0.250], [0.750, 0.750, 0.750], [0.500, 0.500, 0.500]],
  "e_form_raw_mev_per_atom": 720.4
}